This record from the Alexandria database describes a relaxed LiNdEr2Au4 crystal. The functional is PBE-GGA.

Its crystal system is trigonal. The formation energy comes out at -0.7549 eV/atom. The density of states at the Fermi level is 11.02 states/eV/cell. The total energy is -4.37 eV/atom.

The structure belongs to space group R-3m (No. 166, hexagonal axes); the cell edges are 4.9633, 4.9633 and 25.1623 Å and the angles 90.00°, 90.00° and 120.00°. Symmetry generates all atoms from Li at (0.0000, 0.0000, 0.0000), Nd at (0.0000, 0.0000, 0.5000), Er at (0.0000, 0.0000, 0.2608), Au at (0.0000, 0.0000, 0.1109) and Au at (0.0000, 0.0000, 0.3779).

---

This record from the Alexandria database describes a relaxed AlCoTe2 crystal. The functional is PBE-GGA.

Its crystal system is tetragonal. The density of states at the Fermi level is 2.97 states/eV/cell. The total energy is -3.93 eV/atom.

The structure belongs to space group P4/mmm (No. 123); the cell edges are 3.331, 3.331 and 7.381 Å and the angles 90.00°, 90.00° and 90.00°. Symmetry generates all atoms from Al at (0.000, 0.000, 0.000), Co at (0.000, 0.000, 0.500) and Te at (0.500, 0.500, 0.286).

---

This record from the Alexandria database describes a relaxed LiCaRh crystal. The functional is PBE-GGA.

Its crystal system is cubic. As for the energy above the most stable polymorph in this dataset: 239 meV per atom. The formation energy comes out at -0.0260 eV/atom. The total energy is -3.78 eV/atom.

The structure belongs to space group F-43m (No. 216); the cell edges are 6.415, 6.415 and 6.415 Å and the angles 90.00°, 90.00° and 90.00°. Symmetry generates all atoms from Li at (0.000, 0.000, 0.000), Ca at (0.000, 0.000, 0.500) and Rh at (0.250, 0.250, 0.250).

---

This record from the Alexandria database describes a relaxed Th4GaBiSe2 crystal. The functional is PBE-GGA.

Its crystal system is monoclinic. The density of states at the Fermi level is 5.09 states/eV/cell. The total energy is -6.45 eV/atom.

The structure belongs to space group P2/m (No. 10); the cell edges are 7.320, 4.351 and 7.757 Å and the angles 90.00°, 109.54° and 90.00°. Symmetry generates all atoms from Th at (0.232, 0.000, 0.225), Th at (0.247, 0.500, 0.768), Ga at (0.500, 0.000, 0.000), Bi at (0.500, 0.500, 0.500), Se at (0.000, 0.000, 0.500) and Se at (0.000, 0.500, 0.000).

---

This record from the Alexandria database describes a relaxed Dy4CoAg3 crystal. The functional is PBE-GGA.

Its crystal system is tetragonal. The formation energy comes out at -0.2714 eV/atom. The density of states at the Fermi level is 5.45 states/eV/cell. The total energy is -4.53 eV/atom.

The structure belongs to space group P4/mmm (No. 123); the cell edges are 3.530, 3.530 and 14.566 Å and the angles 90.00°, 90.00° and 90.00°. Symmetry generates all atoms from Dy at (0.000, 0.000, 0.111), Dy at (0.000, 0.000, 0.371), Co at (0.500, 0.500, 0.000), Ag at (0.500, 0.500, 0.243) and Ag at (0.500, 0.500, 0.500).

---

This record from the Alexandria database describes a relaxed Ho12Ni6Ru crystal. The functional is PBE-GGA.

Its crystal system is trigonal. The formation energy comes out at -0.2157 eV/atom. The density of states at the Fermi level is 51.39 states/eV/cell. The total energy is -5.42 eV/atom.

The structure belongs to space group R-3 (No. 148, hexagonal axes); the cell edges are 12.1086, 12.1086 and 11.3868 Å and the angles 90.00°, 90.00° and 120.00°. Symmetry generates all atoms from Ho at (0.0219, 0.2085, 0.3890), Ho at (0.0306, 0.2004, 0.8773), Ni at (0.0374, 0.2601, 0.6434) and Ru at (0.0000, 0.0000, 0.0000).

---

Number 1: magnetic moment 0.00 μB per formula unit. Number 2: magnetic moment 0.89 μB per formula unit. Number 3: magnetic moment 0.00 μB per formula unit. Number 4: magnetic moment 0.00 μB per formula unit. Number 5: magnetic moment 0.79 μB per formula unit. Number 6: magnetic moment 0.00 μB per formula unit.